(1)
Entry from the Alexandria database: a relaxed structure of YScHg (PBE).

Calculated values
Relative energy among the computed polymorphs in eV/atom: 0.786
E_form in kJ per mole of atoms: 41.3
Spin magnetization in μB per cell: 0.0
DOS at the Fermi energy in states/eV/atom: 0.6744

```
YScHg
1.0
7.0153 0.0000 0.0000
0.0000 7.0153 0.0000
0.0000 0.0000 7.0153
Y Sc Hg
4 4 4
Direct
0.0000 0.0000 0.0000
0.0000 0.5000 0.5000
0.5000 0.0000 0.5000
0.5000 0.5000 0.0000
0.2500 0.2500 0.2500
0.2500 0.7500 0.7500
0.7500 0.2500 0.7500
0.7500 0.7500 0.2500
0.2500 0.2500 0.7500
0.2500 0.7500 0.2500
0.7500 0.2500 0.2500
0.7500 0.7500 0.7500
```

(2)
Entry from the Alexandria database: a relaxed structure of Y2Sc2Hg3 (PBE).

Calculated values
E_form in kJ per mole of atoms: -28.9
Spin magnetization in μB per cell: 2.6
DOS at the Fermi energy in states/eV/atom: 1.0872

```
Y2Sc2Hg3
1.0
3.6801 0.0000 0.0000
0.0000 26.8053 0.0000
0.0000 0.0000 3.5952
Y Sc Hg
4 4 6
Direct
0.0000 0.0716 0.0000
0.0000 0.9284 0.0000
0.5000 0.4284 0.0000
0.5000 0.5716 0.0000
0.0000 0.2019 0.0000
0.0000 0.7981 0.0000
0.5000 0.2981 0.0000
0.5000 0.7019 0.0000
0.0000 0.3536 0.5000
0.0000 0.5000 0.5000
0.0000 0.6464 0.5000
0.5000 0.0000 0.5000
0.5000 0.1464 0.5000
0.5000 0.8536 0.5000
```

(3)
Entry from the Alexandria database: a relaxed structure of YScHg (PBE).

Calculated values
Relative energy among the computed polymorphs in eV/atom: 0.253
E_form in kJ per mole of atoms: -10.1
Spin magnetization in μB per cell: 0.0
DOS at the Fermi energy in states/eV/atom: 0.8901

```
YScHg
1.0
2.4696 1.4258 8.1668
-2.4696 1.4258 8.1668
0.0000 -2.8516 8.1668
Y Sc Hg
2 2 2
Direct
0.1211 0.1211 0.1211
0.8789 0.8789 0.8789
0.3707 0.3707 0.3707
0.6293 0.6293 0.6293
0.2540 0.2540 0.2540
0.7460 0.7460 0.7460
```

(4)
Entry from the Alexandria database: a relaxed structure of YSc2Hg2 (PBE).

Calculated values
Relative energy among the computed polymorphs in eV/atom: 0.127
E_form in kJ per mole of atoms: -22.5
Spin magnetization in μB per cell: 0.0
DOS at the Fermi energy in states/eV/atom: 1.4478

```
YSc2Hg2
1.0
4.4104 0.0000 0.0000
0.0000 4.4104 0.0000
0.0000 0.0000 13.0802
Y Sc Hg
2 4 4
Direct
0.0000 0.0000 0.0000
0.5000 0.5000 0.5000
0.0000 0.5000 0.2500
0.0000 0.5000 0.7500
0.5000 0.0000 0.2500
0.5000 0.0000 0.7500
0.0000 0.0000 0.3940
0.0000 0.0000 0.6060
0.5000 0.5000 0.1060
0.5000 0.5000 0.8940
```

(5)
Entry from the Alexandria database: a relaxed structure of YScHg (PBE).

Calculated values
Relative energy among the computed polymorphs in eV/atom: 0.119
E_form in kJ per mole of atoms: -23.0
Spin magnetization in μB per cell: 0.0
DOS at the Fermi energy in states/eV/atom: 1.7330

```
YScHg
1.0
11.9759 0.0000 0.0000
0.0000 3.5102 0.0000
-5.0640 0.0000 7.3603
Y Sc Hg
4 4 4
Direct
0.0000 0.0000 0.0000
0.1786 0.0000 0.6309
0.5000 0.5000 0.0000
0.6786 0.5000 0.6309
0.4051 0.0000 0.2629
0.4431 0.0000 0.6298
0.9051 0.5000 0.2629
0.9431 0.5000 0.6298
0.2096 0.5000 0.3460
0.2158 0.5000 0.9573
0.7096 0.0000 0.3460
0.7158 0.0000 0.9573
```

(6)
Entry from the Alexandria database: a relaxed structure of YScHg (PBE).

Calculated values
Relative energy among the computed polymorphs in eV/atom: 0.003
E_form in kJ per mole of atoms: -34.3
Spin magnetization in μB per cell: 0.0
DOS at the Fermi energy in states/eV/atom: 0.2201

```
YScHg
1.0
6.5465 0.0000 0.0000
0.0000 5.1108 0.0000
0.0000 0.0000 9.0749
Y Sc Hg
4 4 4
Direct
0.1872 0.2500 0.0777
0.3128 0.7500 0.5777
0.6872 0.2500 0.4223
0.8128 0.7500 0.9223
0.0136 0.2500 0.7066
0.4864 0.7500 0.2066
0.5136 0.2500 0.7934
0.9864 0.7500 0.2934
0.2189 0.2500 0.4061
0.2811 0.7500 0.9061
0.7189 0.2500 0.0939
0.7811 0.7500 0.5939
```